5
Lattice="-1.524 0.344 3.744 4.405 -2.253 2.000 1.710 3.662 0.360" Properties=species:S:1:pos:R:3 comment="PBE-GGA TlTcB2Pd, relaxed" total_energy_ev_per_atom=-5.29 magnetic_moment_mub_per_fu=0.00 formation_energy_ev_per_fu=4.81 pbc="T T T"
B -0.762 0.172 1.872
B 0.855 1.831 0.180
Tl 2.295 0.876 3.052
Pd 2.202 -1.127 1.000
Tc 0.000 0.000 0.000